[1]
This record from Alexandria describes crystalline Cs2BeC at its relaxed geometry. The functional is GGA-PBE.

Calculated density (g/cm3): 3.32
N(E_F) (states/eV/cell): 11.281

Unit cell a=8.3132 b=8.3132 c=8.3132 alpha=90.00 beta=90.00 gamma=90.00
Space group Fm-3m (No. 225)
Symmetry-distinct sites (fractional):
1 Cs 0.2500 0.2500 0.2500 [8 per cell]
2 Be 0.0000 0.0000 0.0000 [4 per cell]
3 C 0.0000 0.0000 0.5000 [4 per cell]

---

[2]
This record from Alexandria describes crystalline Ac3InHg2 at its relaxed geometry. The functional is GGA-PBE.

Calculated density (g/cm3): 9.84
Energy above the lowest structure with this stoichiometry (eV per formula unit): 0.03
N(E_F) (states/eV/cell): 16.672

Unit cell a=5.7738 b=17.2524 c=4.0548 alpha=90.00 beta=90.00 gamma=90.00
Space group Cmmm (No. 65)
Symmetry-distinct sites (fractional):
1 Ac 0.0000 0.0000 0.0000 [2 per cell]
2 Ac 0.0000 0.3327 0.0000 [4 per cell]
3 In 0.0000 0.5000 0.5000 [2 per cell]
4 Hg 0.0000 0.1649 0.5000 [4 per cell]

---

[3]
This record from Alexandria describes crystalline Ba2ZnW at its relaxed geometry. The functional is GGA-PBE.

Calculated density (g/cm3): 7.16
N(E_F) (states/eV/cell): 9.378

Unit cell a=4.9346 b=4.9346 c=9.9750 alpha=90.00 beta=90.00 gamma=90.00
Space group I-4m2 (No. 119)
Symmetry-distinct sites (fractional):
1 Ba 0.0000 0.0000 0.0000 [2 per cell]
2 Ba 0.0000 0.5000 0.2500 [2 per cell]
3 Zn 0.0000 0.0000 0.5000 [2 per cell]
4 W 0.0000 0.5000 0.7500 [2 per cell]

---

[4]
This record from Alexandria describes crystalline AcNpNi10 at its relaxed geometry. The functional is GGA-PBE.

Calculated density (g/cm3): 10.24
N(E_F) (states/eV/cell): 19.422

Unit cell a=3.9797 b=4.9604 c=8.6331 alpha=90.00 beta=90.00 gamma=90.00
Space group Pmmm (No. 47)
Symmetry-distinct sites (fractional):
1 Ac 0.0000 0.0000 0.0000 [1 per cell]
2 Np 0.0000 0.5000 0.5000 [1 per cell]
3 Ni 0.0000 0.0000 0.3437 [2 per cell]
4 Ni 0.0000 0.5000 0.1846 [2 per cell]
5 Ni 0.5000 0.0000 0.5000 [1 per cell]
6 Ni 0.5000 0.2564 0.2619 [4 per cell]
7 Ni 0.5000 0.5000 0.0000 [1 per cell]

---

[5]
This record from Alexandria describes crystalline NpZnGaSn at its relaxed geometry. The functional is GGA-PBE.

Calculated density (g/cm3): 9.63
Energy above the lowest structure with this stoichiometry (eV per formula unit): 0.63
N(E_F) (states/eV/cell): 29.317

Unit cell a=6.9689 b=6.9689 c=6.9689 alpha=90.00 beta=90.00 gamma=90.00
Space group F-43m (No. 216)
Symmetry-distinct sites (fractional):
1 Np 0.0000 0.0000 0.0000 [4 per cell]
2 Zn 0.2500 0.2500 0.7500 [4 per cell]
3 Ga 0.2500 0.2500 0.2500 [4 per cell]
4 Sn 0.0000 0.0000 0.5000 [4 per cell]

---

[6]
This record from Alexandria describes crystalline Ac5Tb2Y at its relaxed geometry. The functional is GGA-PBE.

Calculated density (g/cm3): 8.06
N(E_F) (states/eV/cell): 22.867

Unit cell a=7.5991 b=15.2207 c=5.4932 alpha=90.00 beta=90.00 gamma=90.00
Space group Pbam (No. 55)
Symmetry-distinct sites (fractional):
1 Ac 0.0000 0.0000 0.0000 [2 per cell]
2 Ac 0.0153 0.2540 0.0000 [4 per cell]
3 Ac 0.2375 0.6206 0.5000 [4 per cell]
4 Tb 0.2406 0.8755 0.5000 [4 per cell]
5 Y 0.0000 0.5000 0.0000 [2 per cell]

---

no.,final energy (eV per atom),E_form (kJ/mol of atoms)
1,-1.84,176.1
2,-3.06,-43.1
3,-3.41,106.5
4,-6.41,-16.3
5,-5.24,7.3
6,-4.49,4.4